Record 1
VASP calculation (meta-GGA SCAN) on SrI2O6 at its PBEsol-relaxed geometry.

Properties
Energy relative to the elements, uncorrected, eV/atom: -1.148
E, eV per atom: -15.942
Mass density, g/cm³: 5.33
Symmetry: P2_1, No. 4
ΔE to the lowest computed polymorph, eV per atom: 0.036
Magnetization, μB/cell: 0.00

a = 3.963 Å, b = 6.424 Å, c = 10.735 Å
α = 86.21°, β = 90.00°, γ = 90.00°
Atoms (fractional coordinates):
1 O 0.111 0.522 0.645
2 O 0.184 0.955 0.710
3 O 0.684 0.045 0.290
4 O 0.209 0.836 0.467
5 O 0.709 0.164 0.533
6 O 0.659 0.018 0.908
7 O 0.111 0.335 0.925
8 O 0.159 0.982 0.092
9 O 0.168 0.355 0.182
10 O 0.668 0.645 0.818
11 O 0.611 0.478 0.355
12 O 0.611 0.665 0.075
13 I 0.951 0.788 0.608
14 I 0.451 0.212 0.392
15 I 0.412 0.777 0.931
16 I 0.912 0.223 0.069
17 Sr 0.586 0.296 0.745
18 Sr 0.086 0.704 0.255

=====

Record 2
VASP calculation (meta-GGA SCAN) on SrI2O6 at its PBEsol-relaxed geometry.

Properties
Energy relative to the elements, uncorrected, eV/atom: -1.162
E, eV per atom: -15.956
Mass density, g/cm³: 4.74
Symmetry: P2_12_12_1, No. 19
ΔE to the lowest computed polymorph, eV per atom: 0.022
Magnetization, μB/cell: 0.00

a = 5.905 Å, b = 5.941 Å, c = 17.454 Å
α = 90.00°, β = 90.00°, γ = 90.00°
Atoms (fractional coordinates):
1 I 0.241 0.242 0.219
2 I 0.759 0.742 0.281
3 I 0.560 0.837 0.925
4 I 0.741 0.258 0.781
5 I 0.060 0.663 0.075
6 I 0.940 0.163 0.425
7 I 0.440 0.337 0.575
8 I 0.259 0.758 0.719
9 O 0.470 0.070 0.987
10 O 0.132 0.369 0.471
11 O 0.976 0.557 0.321
12 O 0.476 0.943 0.679
13 O 0.627 0.432 0.654
14 O 0.873 0.568 0.154
15 O 0.632 0.131 0.529
16 O 0.524 0.443 0.821
17 O 0.018 0.951 0.714
18 O 0.368 0.631 0.971
19 O 0.530 0.570 0.513
20 O 0.821 0.112 0.872
21 O 0.373 0.932 0.846
22 O 0.518 0.549 0.286
23 O 0.024 0.057 0.179
24 O 0.179 0.612 0.628
25 O 0.970 0.430 0.013
26 O 0.868 0.869 0.029
27 O 0.321 0.388 0.128
28 O 0.127 0.068 0.346
29 O 0.982 0.451 0.786
30 O 0.482 0.049 0.214
31 O 0.679 0.888 0.372
32 O 0.030 0.930 0.487
33 Sr 0.702 0.204 0.096
34 Sr 0.298 0.704 0.404
35 Sr 0.202 0.296 0.904
36 Sr 0.798 0.796 0.596

=====

Record 3
VASP calculation (meta-GGA SCAN) on SrI2O6 at its PBEsol-relaxed geometry.

Properties
Energy relative to the elements, uncorrected, eV/atom: -1.182
E, eV per atom: -15.975
Mass density, g/cm³: 4.85
Symmetry: P2_1/c, No. 14
ΔE to the lowest computed polymorph, eV per atom: 0.003
Magnetization, μB/cell: 0.00

a = 7.469 Å, b = 7.242 Å, c = 11.438 Å
α = 90.00°, β = 90.00°, γ = 104.64°
Atoms (fractional coordinates):
1 O 0.218 0.155 0.543
2 O 0.282 0.345 0.043
3 O 0.917 0.410 0.608
4 O 0.851 0.289 0.259
5 O 0.590 0.488 0.611
6 O 0.201 0.130 0.298
7 O 0.083 0.590 0.392
8 O 0.040 0.640 0.093
9 O 0.583 0.090 0.108
10 O 0.410 0.512 0.389
11 O 0.718 0.655 0.957
12 O 0.701 0.630 0.202
13 O 0.960 0.360 0.907
14 O 0.417 0.910 0.892
15 O 0.910 0.012 0.111
16 O 0.351 0.789 0.241
17 O 0.649 0.211 0.759
18 O 0.299 0.370 0.798
19 O 0.540 0.140 0.407
20 O 0.460 0.860 0.593
21 O 0.090 0.988 0.889
22 O 0.799 0.870 0.702
23 O 0.149 0.711 0.741
24 O 0.782 0.845 0.457
25 I 0.290 0.025 0.424
26 I 0.710 0.975 0.576
27 I 0.210 0.475 0.924
28 I 0.241 0.541 0.282
29 I 0.741 0.041 0.218
30 I 0.790 0.525 0.076
31 I 0.759 0.459 0.718
32 I 0.259 0.959 0.782
33 Sr 0.735 0.496 0.406
34 Sr 0.235 0.996 0.094
35 Sr 0.265 0.504 0.594
36 Sr 0.765 0.004 0.906